(1)
Here is LiLuZr after structural relaxation from Alexandria via LeMat-Bulk. Energies are from PBE-GGA.

Volume in Å³ per cell: 74
DFT total energy in eV for the cell shown: -14.5
Space group: P3m1, No. 156
Polymorph energy (0 for the lowest one) in meV per atom: 38

a b c (Å): 3.240 3.240 8.129
angles (deg): 90.00 90.00 120.00
Fractional positions:
Li 0.000 0.000 0.007
Lu 0.333 0.667 0.655
Zr 0.667 0.333 0.338

(2)
Here is CaAcTaN3 after structural relaxation from Alexandria via LeMat-Bulk. Energies are from PBE-GGA.

Volume in Å³ per cell: 198
DFT total energy in eV for the cell shown: -98.9
ΔE_f (raw) in eV/atom: -1.083
Space group: C2/m, No. 12

a b c (Å): 3.993 7.251 7.385
angles (deg): 105.08 90.00 105.98
Fractional positions:
Ta 0.000 0.000 0.707
Ta 0.000 0.000 0.293
N 0.847 0.694 0.172
N 0.153 0.306 0.828
N 0.153 0.305 0.333
N 0.847 0.695 0.667
N 0.501 0.001 0.762
N 0.499 0.999 0.238
Ca 0.663 0.327 0.578
Ca 0.337 0.673 0.422
Ac 0.350 0.701 0.922
Ac 0.650 0.299 0.078

(3)
Here is Y2Co17 after structural relaxation from Alexandria via LeMat-Bulk. Energies are from PBE-GGA.

Volume in Å³ per cell: 241
DFT total energy in eV for the cell shown: -135.6
Space group: R-3m, No. 166
Polymorph energy (0 for the lowest one) in meV per atom: 0

a b c (Å): 6.265 6.265 6.265
angles (deg): 83.05 83.05 83.05
Fractional positions:
Y 0.656 0.656 0.656
Y 0.344 0.344 0.344
Co 0.288 0.712 0.000
Co 0.288 0.000 0.712
Co 0.903 0.903 0.903
Co 0.654 0.654 0.150
Co 0.500 0.000 0.000
Co 0.346 0.346 0.850
Co 0.000 0.288 0.712
Co 0.000 0.500 0.000
Co 0.712 0.288 0.000
Co 0.712 0.000 0.288
Co 0.150 0.654 0.654
Co 0.346 0.850 0.346
Co 0.654 0.150 0.654
Co 0.850 0.346 0.346
Co 0.097 0.097 0.097
Co 0.000 0.000 0.500
Co 0.000 0.712 0.288

(4)
Here is Ba2TlFe after structural relaxation from Alexandria via LeMat-Bulk. Energies are from PBE-GGA.

Volume in Å³ per cell: 132
DFT total energy in eV for the cell shown: -13.0
Space group: I-4m2, No. 119

a b c (Å): 6.170 6.170 6.170
angles (deg): 130.66 130.66 72.35
Fractional positions:
Ba 0.000 0.000 0.000
Ba 0.250 0.750 0.500
Fe 0.500 0.500 0.000
Tl 0.750 0.250 0.500

(5)
Here is SiNiPd after structural relaxation from Alexandria via LeMat-Bulk. Energies are from PBE-GGA.

Volume in Å³ per cell: 85
DFT total energy in eV for the cell shown: -35.7
ΔE_f (raw) in eV/atom: -0.489
Space group: C2/m, No. 12

a b c (Å): 3.940 3.879 6.877
angles (deg): 91.06 73.36 59.48
Fractional positions:
Si 0.983 0.264 0.770
Si 0.017 0.736 0.230
Pd 0.256 0.118 0.370
Pd 0.744 0.882 0.630
Ni 0.244 0.634 0.879
Ni 0.756 0.366 0.121

(6)
Here is La2Nd8Sc after structural relaxation from Alexandria via LeMat-Bulk. Energies are from PBE-GGA.

Volume in Å³ per cell: 385
DFT total energy in eV for the cell shown: -53.1
Space group: Immm, No. 71
Polymorph energy (0 for the lowest one) in meV per atom: 0

a b c (Å): 5.781 8.149 9.578
angles (deg): 115.18 107.55 90.00
Fractional positions:
Nd 0.000 0.718 0.000
Nd 0.839 0.838 0.677
Nd 0.371 0.161 0.742
Nd 0.629 0.419 0.258
Nd 0.161 0.162 0.323
Nd 0.371 0.581 0.742
Nd 0.629 0.839 0.258
Nd 0.000 0.282 0.000
La 0.799 0.298 0.597
La 0.201 0.702 0.403
Sc 0.500 0.000 0.000

(7)
Here is PaTiCrC3 after structural relaxation from Alexandria via LeMat-Bulk. Energies are from PBE-GGA.

Volume in Å³ per cell: 157
DFT total energy in eV for the cell shown: -111.7
Space group: P2_1/m, No. 11

a b c (Å): 3.214 6.755 7.445
angles (deg): 104.08 90.00 90.00
Fractional positions:
C 0.750 0.189 0.493
C 0.250 0.811 0.507
C 0.250 0.117 0.862
C 0.750 0.883 0.138
C 0.250 0.561 0.843
C 0.750 0.439 0.157
Ti 0.250 0.649 0.132
Ti 0.750 0.351 0.868
Cr 0.750 0.887 0.397
Cr 0.250 0.113 0.603
Pa 0.250 0.187 0.203
Pa 0.750 0.813 0.797

(8)
Here is EuGdCdRu after structural relaxation from Alexandria via LeMat-Bulk. Energies are from PBE-GGA.

Volume in Å³ per cell: 95
DFT total energy in eV for the cell shown: -34.9
Space group: F-43m, No. 216

a b c (Å): 5.128 5.128 5.128
angles (deg): 60.00 60.00 60.00
Fractional positions:
Cd 0.250 0.250 0.250
Ru 0.750 0.750 0.750
Gd 0.500 0.500 0.500
Eu 0.000 0.000 0.000